[1]
The following is a DFT calculation (PBE-GGA) of ScVBr after structural relaxation.

a = 4.5184 Å, b = 4.5184 Å, c = 10.4807 Å
α = 64.78°, β = 64.78°, γ = 42.24°
Element x y z (fractional)
V: 0.9347 0.9347 0.5500
V: 0.8185 0.8185 0.7574
Br: 0.4935 0.4935 0.8325
Br: 0.2598 0.2598 0.4748
Sc: 0.6434 0.6434 0.2828
Sc: 0.1097 0.1097 0.0246

The symmetry is C2/m (12). Its crystal system is monoclinic. The formation energy (no corrections) is 0.45 eV/f.u.

---

[2]
The following is a DFT calculation (PBE-GGA) of La5TlPb3 after structural relaxation.

a = 6.9145 Å, b = 9.9582 Å, c = 9.9570 Å
α = 120.00°, β = 90.00°, γ = 90.00°
Element x y z (fractional)
La: 0.5000 0.6667 0.3333
La: 0.7500 0.9999 0.2822
La: 0.0000 0.6667 0.3333
La: 0.2500 0.0001 0.7178
La: 0.7500 0.2822 0.0000
La: 0.7500 0.7178 0.7178
La: 0.5000 0.3333 0.6667
La: 0.2500 0.7178 0.0000
La: 0.0000 0.3333 0.6667
La: 0.2500 0.2822 0.2822
Pb: 0.2500 0.6271 0.6271
Pb: 0.7500 0.0000 0.6271
Pb: 0.2500 0.3730 0.0000
Pb: 0.7500 0.6270 0.0000
Pb: 0.2500 0.0000 0.3729
Pb: 0.7500 0.3729 0.3729
Tl: 0.0000 0.0000 0.0000
Tl: 0.5000 0.0000 0.0000

The symmetry is P6_3/mcm (193). The calculation puts the formation energy at -480.4 kJ/mol of formula units. Its crystal system is hexagonal.

---

[3]
The following is a DFT calculation (PBE-GGA) of La2TcGe4Pt3 after structural relaxation.

a = 4.3565 Å, b = 4.3565 Å, c = 10.3282 Å
α = 90.00°, β = 90.00°, γ = 90.00°
Element x y z (fractional)
Ge: 0.0000 0.5000 0.3744
Ge: 0.5000 0.0000 0.6256
Ge: 0.0000 0.0000 0.0000
Ge: 0.5000 0.5000 0.0000
Pt: 0.0000 0.5000 0.1290
Pt: 0.0000 0.0000 0.5000
Pt: 0.5000 0.0000 0.8710
Tc: 0.5000 0.5000 0.5000
La: 0.0000 0.5000 0.7546
La: 0.5000 0.0000 0.2454

The symmetry is P-4m2 (115). The calculation puts the formation energy at -853.5 kJ/mol of formula units. Its crystal system is tetragonal.